--- P ---
Compound: BRuSe3
Source: Alexandria via LeMat-Bulk
Functional: GGA-PBE
Structure: optimized geometry

Cell lengths 4.332, 4.332, 4.332 Å; angles 90.00, 90.00, 90.00 degrees
Sites, in units of the cell vectors:
Se 0.500 0.000 0.000
Ru 0.500 0.500 0.500
Se 0.000 0.000 0.500
Se 0.000 0.500 0.000
B 0.000 0.000 0.000

Results
Size of the total moment in μB per formula unit: 0.000



--- Q ---
Compound: BRuSe3
Source: Alexandria via LeMat-Bulk
Functional: GGA-PBE
Structure: optimized geometry

Cell lengths 4.868, 4.868, 4.868 Å; angles 90.00, 90.00, 90.00 degrees
Sites, in units of the cell vectors:
Se 0.500 0.000 0.000
Se 0.000 0.500 0.000
B 0.500 0.500 0.500
Se 0.000 0.000 0.500
Ru 0.000 0.000 0.000

Results
Size of the total moment in μB per formula unit: 0.001



Here are the energies relative to the best structure, in meV/atom: P 0; Q 323.



--- P ---
Compound: Si3BRu
Source: Alexandria via LeMat-Bulk
Functional: GGA-PBE
Structure: optimized geometry

Cell lengths 4.562, 4.562, 4.562 Å; angles 90.00, 90.00, 90.00 degrees
Sites, in units of the cell vectors:
Ru 0.000 0.000 0.000
B 0.500 0.500 0.500
Si 0.500 0.000 0.000
Si 0.000 0.000 0.500
Si 0.000 0.500 0.000

Results
Size of the total moment in μB per formula unit: 0.000



--- Q ---
Compound: Si3BRu
Source: Alexandria via LeMat-Bulk
Functional: GGA-PBE
Structure: optimized geometry

Cell lengths 4.020, 4.020, 4.020 Å; angles 90.00, 90.00, 90.00 degrees
Sites, in units of the cell vectors:
B 0.000 0.000 0.000
Si 0.000 0.000 0.500
Ru 0.500 0.500 0.500
Si 0.500 0.000 0.000
Si 0.000 0.500 0.000

Results
Size of the total moment in μB per formula unit: 0.000



Here are the energies relative to the best structure, in meV/atom: P 439; Q 0.



--- P ---
Compound: SiBRu2
Source: Alexandria via LeMat-Bulk
Functional: GGA-PBE
Structure: optimized geometry

Cell lengths 2.819, 2.819, 5.683 Å; angles 90.00, 90.00, 90.00 degrees
Sites, in units of the cell vectors:
Ru 0.000 0.000 0.233
B 0.500 0.500 0.000
Si 0.500 0.500 0.500
Ru 0.000 0.000 0.767

Results
Size of the total moment in μB per formula unit: 0.000



--- Q ---
Compound: SiBRu2
Source: Alexandria via LeMat-Bulk
Functional: GGA-PBE
Structure: optimized geometry

Cell lengths 4.009, 4.009, 4.009 Å; angles 60.00, 60.00, 60.00 degrees
Sites, in units of the cell vectors:
Si 0.500 0.500 0.500
B 0.000 0.000 0.000
Ru 0.750 0.750 0.750
Ru 0.250 0.250 0.250

Results
Size of the total moment in μB per formula unit: 0.000



--- R ---
Compound: SiBRu2
Source: Alexandria via LeMat-Bulk
Functional: GGA-PBE
Structure: optimized geometry

Cell lengths 6.766, 6.766, 5.281 Å; angles 50.17, 50.17, 90.00 degrees
Sites, in units of the cell vectors:
Ru 0.229 0.625 0.250
Si 0.750 0.250 0.500
Ru 0.875 0.771 0.750
Ru 0.375 0.479 0.750
B 0.500 0.500 0.000
Ru 0.521 0.125 0.250
Si 0.000 0.000 0.000
B 0.250 0.750 0.500

Results
Size of the total moment in μB per formula unit: 0.000



Here are the energies relative to the best structure, in meV/atom: P 0; Q 44; R 233.



--- P ---
Compound: SiB2Ru2
Source: Alexandria via LeMat-Bulk
Functional: GGA-PBE
Structure: optimized geometry

Cell lengths 6.222, 6.222, 2.881 Å; angles 90.00, 90.00, 90.00 degrees
Sites, in units of the cell vectors:
Ru 0.837 0.663 0.000
Ru 0.163 0.337 0.000
Si 0.500 0.500 0.000
B 0.386 0.114 0.500
B 0.886 0.386 0.500
B 0.614 0.886 0.500
Ru 0.663 0.163 0.000
Ru 0.337 0.837 0.000
B 0.114 0.614 0.500
Si 0.000 0.000 0.000

Results
Size of the total moment in μB per formula unit: 0.001



--- Q ---
Compound: SiB2Ru2
Source: Alexandria via LeMat-Bulk
Functional: GGA-PBE
Structure: optimized geometry

Cell lengths 2.913, 2.913, 6.535 Å; angles 77.12, 77.12, 90.00 degrees
Sites, in units of the cell vectors:
Ru 0.383 0.383 0.234
B 0.750 0.250 0.500
Si 0.000 0.000 0.000
Ru 0.617 0.617 0.766
B 0.250 0.750 0.500

Results
Size of the total moment in μB per formula unit: 0.000



Here are the energies relative to the best structure, in meV/atom: P 528; Q 0.



--- P ---
Compound: YSiBRu2
Source: Alexandria via LeMat-Bulk
Functional: GGA-PBE
Structure: optimized geometry

Cell lengths 4.292, 4.029, 4.292 Å; angles 90.00, 90.00, 90.00 degrees
Sites, in units of the cell vectors:
Ru 0.500 0.000 0.000
Si 0.000 0.500 0.000
Ru 0.000 0.000 0.500
B 0.000 0.000 0.000
Y 0.500 0.500 0.500

Results
Size of the total moment in μB per formula unit: 0.000



--- Q ---
Compound: YSiBRu2
Source: Alexandria via LeMat-Bulk
Functional: GGA-PBE
Structure: optimized geometry

Cell lengths 3.927, 5.902, 7.171 Å; angles 90.00, 90.00, 109.43 degrees
Sites, in units of the cell vectors:
Si 0.271 0.542 0.250
Ru 0.170 0.341 0.560
Si 0.729 0.458 0.750
Ru 0.170 0.341 0.940
Ru 0.830 0.659 0.060
Ru 0.830 0.659 0.440
B 0.000 0.000 0.000
Y 0.450 0.901 0.750
B 0.000 0.000 0.500
Y 0.550 0.099 0.250

Results
Size of the total moment in μB per formula unit: 0.000



Here are the energies relative to the best structure, in meV/atom: P 465; Q 0.



--- P ---
Compound: SmB4Ru
Source: Alexandria via LeMat-Bulk
Functional: GGA-PBE
Structure: optimized geometry

Cell lengths 3.188, 4.865, 4.865 Å; angles 67.14, 70.87, 70.87 degrees
Sites, in units of the cell vectors:
Ru 0.500 0.500 0.500
B 0.249 0.416 0.086
B 0.751 0.584 0.914
B 0.249 0.086 0.416
Sm 0.000 0.000 0.000
B 0.751 0.914 0.584

Results
Size of the total moment in μB per formula unit: 0.191



--- Q ---
Compound: SmB4Ru
Source: Alexandria via LeMat-Bulk
Functional: GGA-PBE
Structure: optimized geometry

Cell lengths 3.610, 6.023, 11.653 Å; angles 90.00, 90.00, 90.00 degrees
Sites, in units of the cell vectors:
Ru 0.000 0.139 0.408
B 0.500 0.525 0.810
B 0.500 0.111 0.546
Sm 0.000 0.627 0.350
B 0.500 0.785 0.185
Ru 0.000 0.861 0.592
B 0.500 0.638 0.531
B 0.500 0.475 0.190
B 0.500 0.215 0.815
B 0.500 0.611 0.954
B 0.500 0.362 0.469
Sm 0.000 0.127 0.150
Sm 0.000 0.873 0.850
B 0.500 0.889 0.454
B 0.500 0.285 0.315
B 0.500 0.138 0.969
B 0.500 0.862 0.031
B 0.500 0.975 0.310
B 0.500 0.389 0.046
B 0.500 0.025 0.690
Ru 0.000 0.639 0.092
B 0.500 0.715 0.685
Ru 0.000 0.361 0.908
Sm 0.000 0.373 0.650

Results
Size of the total moment in μB per formula unit: 0.000



Here are the energies relative to the best structure, in meV/atom: P 452; Q 0.



--- P ---
Compound: SnBRu2
Source: Alexandria via LeMat-Bulk
Functional: GGA-PBE
Structure: optimized geometry

Cell lengths 6.680, 6.680, 5.390 Å; angles 51.71, 51.71, 90.00 degrees
Sites, in units of the cell vectors:
B 0.250 0.750 0.500
B 0.500 0.500 0.000
Ru 0.218 0.625 0.250
Sn 0.000 0.000 0.000
Sn 0.750 0.250 0.500
Ru 0.532 0.125 0.250
Ru 0.875 0.782 0.750
Ru 0.375 0.468 0.750

Results
Size of the total moment in μB per formula unit: 0.000



--- Q ---
Compound: SnBRu2
Source: Alexandria via LeMat-Bulk
Functional: GGA-PBE
Structure: optimized geometry

Cell lengths 4.273, 4.273, 4.273 Å; angles 60.00, 60.00, 60.00 degrees
Sites, in units of the cell vectors:
B 0.000 0.000 0.000
Sn 0.500 0.500 0.500
Ru 0.250 0.250 0.250
Ru 0.750 0.750 0.750

Results
Size of the total moment in μB per formula unit: 0.000



--- R ---
Compound: SnBRu2
Source: Alexandria via LeMat-Bulk
Functional: GGA-PBE
Structure: optimized geometry

Cell lengths 3.182, 3.182, 6.795 Å; angles 76.46, 76.46, 60.00 degrees
Sites, in units of the cell vectors:
B 0.500 0.500 0.500
Ru 0.223 0.223 0.330
Sn 0.000 0.000 0.000
Ru 0.777 0.777 0.670

Results
Size of the total moment in μB per formula unit: 0.000



Here are the energies relative to the best structure, in meV/atom: P 177; Q 549; R 0.



--- P ---
Compound: SnBRu3
Source: Alexandria via LeMat-Bulk
Functional: GGA-PBE
Structure: optimized geometry

Cell lengths 4.179, 4.179, 4.179 Å; angles 90.00, 90.00, 90.00 degrees
Sites, in units of the cell vectors:
Ru 0.500 0.000 0.000
Sn 0.500 0.500 0.500
Ru 0.000 0.000 0.500
B 0.000 0.000 0.000
Ru 0.000 0.500 0.000

Results
Size of the total moment in μB per formula unit: 0.299



--- Q ---
Compound: SnBRu3
Source: Alexandria via LeMat-Bulk
Functional: GGA-PBE
Structure: optimized geometry

Cell lengths 4.846, 4.846, 4.846 Å; angles 90.00, 90.00, 90.00 degrees
Sites, in units of the cell vectors:
Ru 0.000 0.500 0.000
B 0.500 0.500 0.500
Sn 0.000 0.000 0.000
Ru 0.000 0.000 0.500
Ru 0.500 0.000 0.000

Results
Size of the total moment in μB per formula unit: 3.418



Here are the energies relative to the best structure, in meV/atom: P 0; Q 2785.